La3CoO: relaxed, PBE with a Hubbard U.

Properties
The distance to the lowest polymorph of the same formula is 0.000 eV per atom. The total DFT energy (no corrections) is -28.06 eV for the cell shown. As for the symmetry: Pm-3m, No. 221. The mass density is 6.78 g/cm3. The calculation puts the magnetic moment at 0.09 μB/f.u.

Cell: 4.939 4.939 4.939 Å, 90.00 90.00 90.00°
Atoms (fractional coordinates):
Co 0.500 0.500 0.500
O 0.000 0.000 0.000
La 0.000 0.500 0.000
La 0.000 0.000 0.500
La 0.500 0.000 0.000